Entry 1:
# PBE-GGA P2Se3, relaxed
data_P2Se3
_chemical_formula_sum 'P2 Se3'
_symmetry_space_group_name_H-M 'P 1'
_symmetry_Int_Tables_number 1
_symmetry_space_group_name_Hall 'P 1'
_cell_length_a 10.156
_cell_length_b 10.156
_cell_length_c 10.156
_cell_angle_alpha 20.67
_cell_angle_beta 20.67
_cell_angle_gamma 20.67
loop_
_atom_site_label
_atom_site_type_symbol
_atom_site_fract_x
_atom_site_fract_y
_atom_site_fract_z
P1 P 0.389 0.389 0.389
P2 P 0.611 0.611 0.611
Se1 Se 0.000 0.000 0.000
Se2 Se 0.770 0.770 0.770
Se3 Se 0.230 0.230 0.230
# polymorph energy (0 for the lowest one)	0.000	eV per atom
# uncorrected formation energy	71.2	meV/atom

---

Entry 2:
# PBE-GGA Cs2BaB2O6, relaxed
data_Cs2BaB2O6
_chemical_formula_sum 'Cs2 Ba1 B2 O6'
_symmetry_space_group_name_H-M 'P 1'
_symmetry_Int_Tables_number 1
_symmetry_space_group_name_Hall 'P 1'
_cell_length_a 6.034
_cell_length_b 6.030
_cell_length_c 8.039
_cell_angle_alpha 112.02
_cell_angle_beta 90.00
_cell_angle_gamma 120.02
loop_
_atom_site_label
_atom_site_type_symbol
_atom_site_fract_x
_atom_site_fract_y
_atom_site_fract_z
Cs1 Cs 0.705 0.411 0.115
Cs2 Cs 0.295 0.589 0.885
Ba1 Ba 0.500 0.000 0.500
B1 B 0.912 0.823 0.736
B2 B 0.088 0.177 0.264
O1 O 0.780 0.561 0.737
O2 O 0.220 0.046 0.265
O3 O 0.174 0.954 0.735
O4 O 0.780 0.954 0.735
O5 O 0.826 0.046 0.265
O6 O 0.220 0.439 0.263
# uncorrected formation energy	-2095.4	meV/atom

---

Entry 3:
# PBE-GGA LaSiMo, relaxed
data_LaSiMo
_chemical_formula_sum 'La1 Si1 Mo1'
_symmetry_space_group_name_H-M 'P 1'
_symmetry_Int_Tables_number 1
_symmetry_space_group_name_Hall 'P 1'
_cell_length_a 4.623
_cell_length_b 4.623
_cell_length_c 4.623
_cell_angle_alpha 60.00
_cell_angle_beta 60.00
_cell_angle_gamma 60.00
loop_
_atom_site_label
_atom_site_type_symbol
_atom_site_fract_x
_atom_site_fract_y
_atom_site_fract_z
La1 La 0.000 0.000 0.000
Mo1 Mo 0.500 0.500 0.500
Si1 Si 0.250 0.250 0.250
# uncorrected formation energy	280.1	meV/atom

---

Entry 4:
# PBE-GGA GaPbAu4, relaxed
data_GaPbAu4
_chemical_formula_sum 'Ga1 Pb1 Au4'
_symmetry_space_group_name_H-M 'P 1'
_symmetry_Int_Tables_number 1
_symmetry_space_group_name_Hall 'P 1'
_cell_length_a 5.643
_cell_length_b 5.643
_cell_length_c 5.643
_cell_angle_alpha 60.00
_cell_angle_beta 60.00
_cell_angle_gamma 60.00
loop_
_atom_site_label
_atom_site_type_symbol
_atom_site_fract_x
_atom_site_fract_y
_atom_site_fract_z
Pb1 Pb 0.250 0.250 0.250
Au1 Au 0.625 0.625 0.124
Au2 Au 0.625 0.124 0.625
Au3 Au 0.625 0.625 0.625
Au4 Au 0.124 0.625 0.625
Ga1 Ga 0.000 0.000 0.000
# polymorph energy (0 for the lowest one)	0.102	eV per atom

---

| no. | total magnetization (μB/cell) |
| --- | --- |
| 1 | 0.000 |
| 2 | 1.805 |
| 3 | 0.658 |
| 4 | 0.000 |